# 1
DFT (PBE-GGA) results for a relaxed structure of PdS.

The structure belongs to space group Pm-3n (No. 223); the cell edges are 6.6682, 6.6682 and 6.6682 Å and the angles 90.00°, 90.00° and 90.00°. The asymmetric unit holds Pd at (0.0000, 0.2500, 0.5000) and S at (0.0000, 0.5000, 0.2500).

The calculation puts the total DFT energy (no corrections) at -4.69 eV per atom. The total magnetization is 0.00 Bohr magnetons per cell.

=====

# 2
DFT (PBE-GGA) results for a relaxed structure of Pd6S.

The structure belongs to space group Pnma (No. 62); the cell edges are 9.6716, 8.9746 and 5.0807 Å and the angles 90.00°, 90.00° and 90.00°. The asymmetric unit holds Pd at (0.0031, 0.2500, 0.2135), Pd at (0.0097, 0.0726, 0.7538), Pd at (0.2370, 0.2500, 0.5603), Pd at (0.2407, 0.0713, 0.1003) and S at (0.1271, 0.7500, 0.4188).

The calculation puts the total DFT energy (no corrections) at -5.13 eV per atom. The total magnetization is 0.00 Bohr magnetons per cell.

=====

# 3
DFT (PBE-GGA) results for a relaxed structure of PdS.

The structure belongs to space group Pmmn (No. 59, origin choice 2); the cell edges are 4.4559, 12.2492 and 4.0413 Å and the angles 90.00°, 90.00° and 90.00°. The asymmetric unit holds Pd at (0.2500, 0.0868, 0.2439), Pd at (0.2500, 0.7500, 0.3180), S at (0.2500, 0.2500, 0.9220) and S at (0.2500, 0.5770, 0.5651).

The calculation puts the total DFT energy (no corrections) at -4.81 eV per atom. The total magnetization is 0.00 Bohr magnetons per cell.

=====

# 4
DFT (PBE-GGA) results for a relaxed structure of PdS3.

The structure belongs to space group I4/mmm (No. 139); the cell edges are 3.3548, 3.3548 and 16.6268 Å and the angles 90.00°, 90.00° and 90.00°. The asymmetric unit holds Pd at (0.0000, 0.0000, 0.0000), S at (0.0000, 0.0000, 0.5000) and S at (0.0000, 0.5000, 0.2500).

The calculation puts the total DFT energy (no corrections) at -4.05 eV per atom. The total magnetization is 0.00 Bohr magnetons per cell.

=====

# 5
DFT (PBE-GGA) results for a relaxed structure of PdS.

The structure belongs to space group I4/m (No. 87); the cell edges are 9.6286, 9.6286 and 4.0405 Å and the angles 90.00°, 90.00° and 90.00°. The asymmetric unit holds Pd at (0.1499, 0.2824, 0.0000) and S at (0.0908, 0.6993, 0.0000).

The calculation puts the total DFT energy (no corrections) at -4.73 eV per atom. The total magnetization is 0.00 Bohr magnetons per cell.

=====

# 6
DFT (PBE-GGA) results for a relaxed structure of PdS.

The structure belongs to space group P4_2/mnm (No. 136); the cell edges are 6.7918, 6.7918 and 3.5918 Å and the angles 90.00°, 90.00° and 90.00°. The asymmetric unit holds Pd at (0.1415, 0.1415, 0.0000) and S at (0.2014, 0.7986, 0.0000).

The calculation puts the total DFT energy (no corrections) at -4.80 eV per atom. The total magnetization is 0.00 Bohr magnetons per cell.

=====

# 7
DFT (PBE-GGA) results for a relaxed structure of PdS.

The structure belongs to space group Pmmn (No. 59, origin choice 2); the cell edges are 3.5766, 5.0481 and 3.5853 Å and the angles 90.00°, 90.00° and 90.00°. The asymmetric unit holds Pd at (0.2500, 0.2500, 0.2481) and S at (0.2500, 0.7500, 0.2518).

The calculation puts the total DFT energy (no corrections) at -4.79 eV per atom. The total magnetization is 0.00 Bohr magnetons per cell.

=====

# 8
DFT (PBE-GGA) results for a relaxed structure of PdS.

The structure belongs to space group Pmn2_1 (No. 31); the cell edges are 11.5386, 4.1697 and 4.6012 Å and the angles 90.00°, 90.00° and 90.00°. The asymmetric unit holds Pd at (0.0000, 0.1231, 0.0000), Pd at (0.1950, 0.3532, 0.7281), S at (0.0000, 0.6200, 0.7743) and S at (0.1804, 0.1527, 0.2329).

The calculation puts the total DFT energy (no corrections) at -4.82 eV per atom. The total magnetization is 0.00 Bohr magnetons per cell.

=====

# 9
DFT (PBE-GGA) results for a relaxed structure of PdS.

The structure belongs to space group P4/m (No. 83); the cell edges are 9.1187, 9.1187 and 4.5024 Å and the angles 90.00°, 90.00° and 90.00°. The asymmetric unit holds Pd at (0.0733, 0.2789, 0.0000), Pd at (0.1092, 0.7319, 0.5000), S at (0.1413, 0.3393, 0.5000) and S at (0.1844, 0.6816, 0.0000).

The calculation puts the total DFT energy (no corrections) at -4.87 eV per atom. The total magnetization is 0.00 Bohr magnetons per cell.

=====

# 10
DFT (PBE-GGA) results for a relaxed structure of PdS.

The structure belongs to space group P2_12_12_1 (No. 19); the cell edges are 5.9731, 7.2294 and 7.6350 Å and the angles 90.00°, 90.00° and 90.00°. The asymmetric unit holds Pd at (0.0917, 0.1951, 0.3225), Pd at (0.1854, 0.4767, 0.7840), S at (0.0228, 0.7627, 0.8713) and S at (0.0474, 0.4027, 0.0881).

The calculation puts the total DFT energy (no corrections) at -4.75 eV per atom. The total magnetization is 0.00 Bohr magnetons per cell.

=====

| no. | density of states at the Fermi level (states/eV/cell) |
| --- | --- |
| 1 | 8.195 |
| 2 | 19.710 |
| 3 | 4.196 |
| 4 | 7.449 |
| 5 | 11.745 |
| 6 | 5.999 |
| 7 | 2.756 |
| 8 | 6.797 |
| 9 | 3.674 |
| 10 | 11.121 |